Record 1
DFT (PBE) results for a relaxed structure of Y3Cu2Pt6.

Results
crystal system	cubic

Unit cell a=9.4820 b=9.4820 c=9.4820 alpha=90.00 beta=90.00 gamma=90.00
Space group Im-3m (No. 229)
Inequivalent atoms, fractional coordinates:
Y: 0.0000 0.0000 0.3011 [12 per cell]
Cu: 0.2500 0.2500 0.2500 [8 per cell]
Pt: 0.0000 0.3309 0.3309 [24 per cell]

=====

Record 2
DFT (PBE) results for a relaxed structure of YCu4Pt4.

Results
crystal system	tetragonal

Unit cell a=7.9869 b=7.9869 c=4.6076 alpha=90.00 beta=90.00 gamma=90.00
Space group I4/m (No. 87)
Inequivalent atoms, fractional coordinates:
Y: 0.0000 0.0000 0.0000 [2 per cell]
Cu: 0.1228 0.2244 0.5000 [8 per cell]
Pt: 0.0738 0.3527 0.0000 [8 per cell]

=====

Record 3
DFT (PBE) results for a relaxed structure of YCuPt2.

Results
crystal system	cubic

Unit cell a=6.5774 b=6.5774 c=6.5774 alpha=90.00 beta=90.00 gamma=90.00
Space group Fm-3m (No. 225)
Inequivalent atoms, fractional coordinates:
Y: 0.0000 0.0000 0.0000 [4 per cell]
Cu: 0.0000 0.0000 0.5000 [4 per cell]
Pt: 0.2500 0.2500 0.2500 [8 per cell]

=====

Record 4
DFT (PBE) results for a relaxed structure of Y2CuPt.

Results
crystal system	tetragonal

Unit cell a=4.0529 b=4.0529 c=5.7965 alpha=90.00 beta=90.00 gamma=90.00
Space group P4mm (No. 99)
Inequivalent atoms, fractional coordinates:
Y: 0.0000 0.0000 0.0000 [1 per cell]
Y: 0.5000 0.5000 0.4367 [1 per cell]
Cu: 0.0000 0.0000 0.5050 [1 per cell]
Pt: 0.5000 0.5000 0.9417 [1 per cell]

=====

The evaluated DFT formation energy for the records listed, in turn: -9.23 -1.73 -2.65 -2.36 eV/f.u..
The evaluated D(E_F) for the records listed, in turn: 5.883 4.688 2.291 2.569 states/eV/f.u..